No. 1
PmHf2Mo after structural relaxation, computed with PBE.

Lattice parameters (Å, degrees): 3.2345 3.2345 31.5901 90.00 90.00 120.00
With the nearest neighbours (Å) after each atom.
Element x y z (fractional)
Pm1 0.0000 0.0000 0.0000  2 Hf 3.22, 6 Pm 3.23
Pm2 0.3333 0.6667 0.6667  2 Hf 3.22, 6 Pm 3.23
Pm3 0.6667 0.3333 0.3333  2 Hf 3.22, 6 Pm 3.23
Hf1 0.0000 0.0000 0.1021  3 Mo 2.77
Hf2 0.0000 0.0000 0.8979  3 Mo 2.77
Hf3 0.3333 0.6667 0.5646  3 Mo 2.77
Hf4 0.3333 0.6667 0.7687  3 Mo 2.77
Hf5 0.6667 0.3333 0.2313  3 Mo 2.77
Hf6 0.6667 0.3333 0.4354  3 Mo 2.77
Mo1 0.0000 0.0000 0.5000  6 Hf 2.77
Mo2 0.3333 0.6667 0.1667  6 Hf 2.77
Mo3 0.6667 0.3333 0.8333  6 Hf 2.77

Values from the calculation:
DOS(E_F)	1.27	states/eV/atom
energy above the most stable polymorph in this dataset	1.171	eV per formula unit
formation energy from the elements	350.3	meV per atom
total DFT energy (no corrections)	-8.52	eV/atom

No. 2
YSiBiTe2 after structural relaxation, computed with PBE.

Lattice parameters (Å, degrees): 5.2560 5.2560 5.5730 90.00 90.00 90.00
With the nearest neighbours (Å) after each atom.
Element x y z (fractional)
Y1 0.0000 0.0000 0.0000  2 Si 2.79
Si1 0.0000 0.0000 0.5000  4 Te 2.63, 2 Y 2.79
Bi1 0.5000 0.5000 0.0000  4 Y 3.72, 8 Te 3.83
Te1 0.0000 0.5000 0.5000  2 Si 2.63
Te2 0.5000 0.0000 0.5000  2 Si 2.63

Values from the calculation:
DOS(E_F)	0.93	states/eV/atom
total DFT energy (no corrections)	-4.31	eV/atom

No. 3
Cs3SrSn2Cl9 after structural relaxation, computed with PBE.

Lattice parameters (Å, degrees): 8.0209 8.0209 9.8283 90.00 90.00 120.00
With the nearest neighbours (Å) after each atom.
Element x y z (fractional)
Cs1 0.0000 0.0000 0.0000  12 Cl 4.00-4.01
Cs2 0.3333 0.6667 0.6717  12 Cl 3.97-4.06
Cs3 0.6667 0.3333 0.3283  12 Cl 3.97-4.06
Sr1 0.0000 0.0000 0.5000  6 Cl 2.86
Sn1 0.3333 0.6667 0.1643  6 Cl 2.82
Sn2 0.6667 0.3333 0.8357  6 Cl 2.82
Cl1 0.0000 0.5000 0.0000  2 Sn 2.82
Cl2 0.1678 0.3357 0.3311  1 Sn 2.82, 1 Sr 2.86
Cl3 0.1678 0.8322 0.3311  1 Sn 2.82, 1 Sr 2.86
Cl4 0.3357 0.1678 0.6689  1 Sn 2.82, 1 Sr 2.86
Cl5 0.5000 0.0000 0.0000  2 Sn 2.82
Cl6 0.5000 0.5000 0.0000  2 Sn 2.82
Cl7 0.6643 0.8322 0.3311  1 Sn 2.82, 1 Sr 2.86
Cl8 0.8322 0.1678 0.6689  1 Sn 2.82, 1 Sr 2.86
Cl9 0.8322 0.6643 0.6689  1 Sn 2.82, 1 Sr 2.86

Values from the calculation:
DOS(E_F)	0.00	states/eV/atom
total DFT energy (no corrections)	-3.64	eV/atom

No. 4
RbPd after structural relaxation, computed with PBE.

Lattice parameters (Å, degrees): 8.9272 8.9272 8.9272 90.00 90.00 90.00
With the nearest neighbours (Å) after each atom.
Element x y z (fractional)
Rb1 0.0000 0.2500 0.5000  4 Pd 3.16
Rb2 0.0000 0.7500 0.5000  4 Pd 3.16
Rb3 0.2500 0.5000 0.0000  4 Pd 3.16
Rb4 0.5000 0.0000 0.2500  4 Pd 3.16
Rb5 0.5000 0.0000 0.7500  4 Pd 3.16
Rb6 0.7500 0.5000 0.0000  4 Pd 3.16
Pd1 0.0000 0.5000 0.2500  4 Rb 3.16
Pd2 0.0000 0.5000 0.7500  4 Rb 3.16
Pd3 0.2500 0.0000 0.5000  4 Rb 3.16
Pd4 0.5000 0.2500 0.0000  4 Rb 3.16
Pd5 0.5000 0.7500 0.0000  4 Rb 3.16
Pd6 0.7500 0.0000 0.5000  4 Rb 3.16

Values from the calculation:
DOS(E_F)	0.65	states/eV/atom
formation energy from the elements	801.1	meV per atom
total DFT energy (no corrections)	-2.28	eV/atom

Computed values of total magnetic moment (unit: μB/f.u.) for the preceding records, in sequence: 0.0 0.0 0.0 0.0.